(P)
Material: Ac2Pm6Sm
Method: DFT, PBE
State: relaxed

## Properties
Fermi-level density of states: 1.520 states/eV per atom
Symmetry: C2/c, No. 15

Cell lengths 7.001, 9.908, 9.908 Å; angles 95.92, 81.46, 81.46 degrees
Fractional positions:
Pm  0.241  0.460  0.045
Pm  0.006  0.719  0.335
Pm  0.494  0.665  0.281
Pm  0.321  0.782  0.967
Pm  0.994  0.281  0.665
Pm  0.259  0.955  0.540
Pm  0.179  0.033  0.218
Pm  0.821  0.967  0.782
Pm  0.741  0.045  0.460
Pm  0.759  0.540  0.955
Pm  0.506  0.335  0.719
Pm  0.679  0.218  0.033
Sm  0.750  0.885  0.115
Sm  0.250  0.115  0.885
Ac  0.621  0.680  0.617
Ac  0.379  0.320  0.383
Ac  0.121  0.617  0.680
Ac  0.879  0.383  0.320

---

(Q)
Material: Ac2Pm6Sm
Method: DFT, PBE
State: relaxed

## Properties
Fermi-level density of states: 1.523 states/eV per atom
Symmetry: C2/m, No. 12

Cell lengths 6.436, 7.749, 7.749 Å; angles 60.00, 90.01, 90.01 degrees
Fractional positions:
Pm  0.702  0.627  0.186
Pm  0.298  0.814  0.373
Pm  0.702  0.186  0.627
Pm  0.298  0.373  0.814
Pm  0.297  0.814  0.814
Pm  0.703  0.186  0.186
Ac  0.796  0.666  0.666
Ac  0.204  0.334  0.334
Sm  0.000  0.000  0.000

---

The structure with the least stability is (Q).

---

(P)
Material: AcPm5Sm3
Method: DFT, PBE
State: relaxed

## Properties
Fermi-level density of states: 1.528 states/eV per atom
Symmetry: C2/m, No. 12

Cell lengths 8.655, 8.655, 14.086 Å; angles 57.95, 57.95, 84.31 degrees
Fractional positions:
Pm  0.657  0.657  0.582
Pm  0.950  0.446  0.410
Pm  0.653  0.653  0.088
Pm  0.554  0.050  0.590
Pm  0.347  0.347  0.912
Pm  0.050  0.554  0.590
Pm  0.343  0.343  0.418
Pm  0.446  0.950  0.410
Pm  0.744  0.256  0.000
Pm  0.256  0.744  0.000
Sm  0.000  0.000  0.000
Sm  0.332  0.332  0.170
Sm  0.668  0.668  0.830
Sm  0.663  0.663  0.320
Sm  0.000  0.000  0.500
Sm  0.337  0.337  0.680
Ac  0.999  0.999  0.749
Ac  0.001  0.001  0.251

---

(Q)
Material: AcPm5Sm3
Method: DFT, PBE
State: relaxed

## Properties
Fermi-level density of states: 1.450 states/eV per atom
Symmetry: Imma, No. 74

Cell lengths 9.590, 10.909, 7.370 Å; angles 109.75, 90.00, 116.08 degrees
Fractional positions:
Pm  0.491  0.333  0.673
Pm  0.509  0.667  0.327
Pm  0.843  0.333  0.173
Pm  0.708  0.000  0.250
Pm  0.157  0.667  0.340
Pm  0.157  0.667  0.827
Pm  0.510  0.667  0.840
Pm  0.490  0.333  0.160
Pm  0.843  0.333  0.660
Pm  0.292  0.000  0.750
Ac  0.654  0.000  0.750
Ac  0.346  0.000  0.250
Sm  0.185  0.361  0.431
Sm  0.000  0.000  0.500
Sm  0.000  0.000  0.000
Sm  0.176  0.361  0.931
Sm  0.815  0.639  0.569
Sm  0.824  0.639  0.069

---

The structure with the least stability is (P).

---

(P)
Material: AcPm6Sm8
Method: DFT, PBE
State: relaxed

## Properties
Fermi-level density of states: 1.520 states/eV per atom
Symmetry: R-3, No. 148

Cell lengths 9.463, 9.463, 8.729 Å; angles 57.17, 57.17, 60.00 degrees
Fractional positions:
Sm  0.571  0.571  0.287
Sm  0.918  0.351  0.506
Sm  0.226  0.918  0.506
Sm  0.082  0.649  0.494
Sm  0.649  0.774  0.494
Sm  0.351  0.226  0.506
Sm  0.774  0.082  0.494
Sm  0.429  0.429  0.713
Pm  0.106  0.270  0.074
Pm  0.550  0.106  0.074
Pm  0.450  0.894  0.926
Pm  0.730  0.450  0.926
Pm  0.894  0.730  0.926
Pm  0.270  0.550  0.074
Ac  0.000  0.000  0.000

---

(Q)
Material: AcPm6Sm8
Method: DFT, PBE
State: relaxed

## Properties
Fermi-level density of states: 1.388 states/eV per atom
Symmetry: R-3, No. 148

Cell lengths 9.895, 9.895, 8.430 Å; angles 54.06, 54.06, 60.00 degrees
Fractional positions:
Ac  0.000  0.000  0.000
Pm  0.619  0.169  0.783
Pm  0.831  0.572  0.217
Pm  0.169  0.428  0.783
Pm  0.428  0.619  0.783
Pm  0.572  0.381  0.217
Pm  0.381  0.831  0.217
Sm  0.057  0.858  0.697
Sm  0.612  0.943  0.303
Sm  0.142  0.612  0.303
Sm  0.858  0.388  0.697
Sm  0.388  0.057  0.697
Sm  0.233  0.233  0.302
Sm  0.767  0.767  0.698
Sm  0.943  0.142  0.303

---

The structure with the least stability is (Q).

---

(P)
Material: AcPm7Sm3
Method: DFT, PBE
State: relaxed

## Properties
Fermi-level density of states: 1.532 states/eV per atom
Symmetry: P3m1, No. 156

Cell lengths 8.824, 7.284, 7.284 Å; angles 120.00, 90.00, 90.00 degrees
Fractional positions:
Pm  0.452  0.335  0.167
Pm  0.123  0.667  0.333
Pm  0.452  0.833  0.167
Pm  0.111  0.668  0.834
Pm  0.111  0.166  0.834
Pm  0.111  0.166  0.332
Pm  0.452  0.833  0.665
Sm  0.786  0.501  0.499
Sm  0.786  0.997  0.499
Sm  0.786  0.501  0.003
Ac  0.444  0.333  0.667

---

(Q)
Material: AcPm7Sm3
Method: DFT, PBE
State: relaxed

## Properties
Fermi-level density of states: 1.355 states/eV per atom
Symmetry: C2/m, No. 12

Cell lengths 6.632, 7.828, 7.828 Å; angles 81.01, 86.00, 86.00 degrees
Fractional positions:
Pm  0.741  0.575  0.926
Pm  0.202  0.766  0.766
Pm  0.000  0.500  0.500
Pm  0.259  0.074  0.425
Pm  0.798  0.234  0.234
Pm  0.259  0.425  0.074
Pm  0.741  0.926  0.575
Sm  0.000  0.828  0.172
Sm  0.000  0.172  0.828
Sm  0.500  0.000  0.000
Ac  0.500  0.500  0.500

---

The structure with the least stability is (Q).

---

(P)
Material: Ac2Pm5Sm2
Method: DFT, PBE
State: relaxed

## Properties
Fermi-level density of states: 1.615 states/eV per atom
Symmetry: P-1, No. 2

Cell lengths 3.735, 12.329, 11.744 Å; angles 48.17, 108.33, 81.14 degrees
Fractional positions:
Pm  0.434  0.675  0.771
Pm  0.106  0.671  0.441
Pm  0.894  0.329  0.559
Pm  0.000  0.000  0.000
Pm  0.566  0.325  0.229
Ac  0.777  0.666  0.111
Ac  0.223  0.334  0.889
Sm  0.659  0.005  0.661
Sm  0.341  0.995  0.339

---

(Q)
Material: Ac2Pm5Sm2
Method: DFT, PBE
State: relaxed

## Properties
Fermi-level density of states: 1.479 states/eV per atom
Symmetry: Ima2, No. 46

Cell lengths 9.836, 8.821, 10.121 Å; angles 115.83, 119.07, 90.00 degrees
Fractional positions:
Pm  0.558  0.258  0.701
Pm  0.083  0.134  0.500
Pm  0.357  0.057  0.299
Pm  0.917  0.634  0.500
Pm  0.298  0.685  0.939
Pm  0.442  0.557  0.299
Pm  0.140  0.185  0.939
Pm  0.860  0.246  0.061
Pm  0.702  0.746  0.061
Pm  0.643  0.758  0.701
Sm  0.738  0.956  0.500
Sm  0.500  0.391  0.000
Sm  0.000  0.891  0.000
Sm  0.262  0.456  0.500
Ac  0.661  0.180  0.251
Ac  0.339  0.928  0.749
Ac  0.090  0.680  0.251
Ac  0.910  0.428  0.749

---

The structure with the least stability is (Q).

---

(P)
Material: AcPm3Sm7
Method: DFT, PBE
State: relaxed

## Properties
Fermi-level density of states: 1.376 states/eV per atom
Symmetry: C2/m, No. 12

Cell lengths 6.622, 7.813, 7.813 Å; angles 80.95, 86.04, 86.04 degrees
Fractional positions:
Sm  0.259  0.425  0.076
Sm  0.798  0.234  0.234
Sm  0.259  0.076  0.425
Sm  0.000  0.500  0.500
Sm  0.741  0.575  0.924
Sm  0.202  0.766  0.766
Sm  0.741  0.924  0.575
Ac  0.500  0.500  0.500
Pm  0.500  0.000  0.000
Pm  0.000  0.173  0.827
Pm  0.000  0.827  0.173

---

(Q)
Material: AcPm3Sm7
Method: DFT, PBE
State: relaxed

## Properties
Fermi-level density of states: 1.468 states/eV per atom
Symmetry: Immm, No. 71

Cell lengths 6.106, 8.615, 8.615 Å; angles 82.30, 110.75, 110.75 degrees
Site moments in Bohr magnetons follow the coordinates.
Fractional positions:
Sm  0.708  0.403  0.013  0.00
Sm  0.292  0.987  0.597  0.00
Sm  0.805  0.804  0.804  0.00
Sm  0.195  0.196  0.196  0.00
Sm  0.292  0.597  0.987  0.00
Sm  0.708  0.013  0.403  0.00
Sm  0.000  0.500  0.500  0.14
Pm  0.500  0.000  0.000  0.00
Pm  0.000  0.788  0.212  0.00
Pm  0.000  0.212  0.788  0.00
Ac  0.500  0.500  0.500  0.09

---

The structure with the least stability is (Q).